This record from Alexandria describes a relaxed PrTlRh2 crystal. The functional is PBE-GGA.

Values from the calculation:
- formation enthalpy at 0 K (eV/atom) = -0.4357

Cell and atoms, written as CIF:
```
data_PrTlRh2
_chemical_formula_sum 'Pr2 Tl2 Rh4'
_symmetry_space_group_name_H-M 'P m m a'
_symmetry_Int_Tables_number 51
_symmetry_space_group_name_Hall '-P 2a 2a'
_cell_length_a 5.506
_cell_length_b 4.384
_cell_length_c 7.219
_cell_angle_alpha 90.00
_cell_angle_beta 90.00
_cell_angle_gamma 90.00
loop_
_atom_site_label
_atom_site_type_symbol
_atom_site_fract_x
_atom_site_fract_y
_atom_site_fract_z
Pr1 Pr 0.250 0.000 0.234
Tl1 Tl 0.250 0.500 0.863
Rh1 Rh 0.000 0.500 0.500
Rh2 Rh 0.250 0.000 0.627
```

This record from Alexandria describes a relaxed NiTeSeI2 crystal. The functional is PBE-GGA.

Values from the calculation:
- uncorrected formation energy (eV/atom) = 0.93

Cell and atoms, written as CIF:
```
data_NiTeSeI2
_chemical_formula_sum 'Ni1 Te1 Se1 I2'
_symmetry_space_group_name_H-M 'P 4/m m m'
_symmetry_Int_Tables_number 123
_symmetry_space_group_name_Hall '-P 4 2'
_cell_length_a 5.597
_cell_length_b 5.597
_cell_length_c 5.696
_cell_angle_alpha 90.00
_cell_angle_beta 90.00
_cell_angle_gamma 90.00
loop_
_atom_site_label
_atom_site_type_symbol
_atom_site_fract_x
_atom_site_fract_y
_atom_site_fract_z
Ni1 Ni 0.000 0.000 0.000
Te1 Te 0.500 0.500 0.000
Se1 Se 0.500 0.500 0.500
I1 I 0.000 0.500 0.500
```

This record from Alexandria describes a relaxed ReSe5 crystal. The functional is PBE-GGA.

Values from the calculation:
- uncorrected formation energy (eV/atom) = 0.31

Cell and atoms, written as CIF:
```
data_ReSe5
_chemical_formula_sum 'Re1 Se5'
_symmetry_space_group_name_H-M 'P -6 2 m'
_symmetry_Int_Tables_number 189
_symmetry_space_group_name_Hall 'P -6 -2'
_cell_length_a 7.4974
_cell_length_b 7.4974
_cell_length_c 2.9865
_cell_angle_alpha 90.00
_cell_angle_beta 90.00
_cell_angle_gamma 120.00
loop_
_atom_site_label
_atom_site_type_symbol
_atom_site_fract_x
_atom_site_fract_y
_atom_site_fract_z
Re1 Re 0.0000 0.0000 0.0000
Se1 Se 0.0000 0.7339 0.5000
Se2 Se 0.3333 0.6667 0.0000
```

This record from Alexandria describes a relaxed Tb6Te2Se3 crystal. The functional is PBE-GGA.

Values from the calculation:
- uncorrected formation energy (eV/atom) = -1.42

Cell and atoms, written as CIF:
```
data_Tb6Te2Se3
_chemical_formula_sum 'Tb18 Te6 Se9'
_symmetry_space_group_name_H-M 'R -3 m'
_symmetry_Int_Tables_number 166
_symmetry_space_group_name_Hall '-R 3 2"'
_cell_length_a 4.0944
_cell_length_b 4.0944
_cell_length_c 62.4376
_cell_angle_alpha 90.00
_cell_angle_beta 90.00
_cell_angle_gamma 120.00
loop_
_atom_site_label
_atom_site_type_symbol
_atom_site_fract_x
_atom_site_fract_y
_atom_site_fract_z
Tb1 Tb 0.0000 0.0000 0.0798
Tb2 Tb 0.0000 0.0000 0.1883
Tb3 Tb 0.0000 0.0000 0.3607
Te1 Te 0.0000 0.0000 0.4450
Se1 Se 0.0000 0.0000 0.0000
Se2 Se 0.0000 0.0000 0.2797
```

This record from Alexandria describes a relaxed La2DyCd2 crystal. The functional is PBE-GGA.

Values from the calculation:
- formation enthalpy at 0 K (eV/atom) = -0.0560

Cell and atoms, written as CIF:
```
data_La2DyCd2
_chemical_formula_sum 'La8 Dy4 Cd8'
_symmetry_space_group_name_H-M 'I b a m'
_symmetry_Int_Tables_number 72
_symmetry_space_group_name_Hall '-I 2 2c'
_cell_length_a 8.236
_cell_length_b 12.548
_cell_length_c 6.155
_cell_angle_alpha 90.00
_cell_angle_beta 90.00
_cell_angle_gamma 90.00
loop_
_atom_site_label
_atom_site_type_symbol
_atom_site_fract_x
_atom_site_fract_y
_atom_site_fract_z
La1 La 0.156 0.207 0.000
Dy1 Dy 0.000 0.500 0.250
Cd1 Cd 0.168 0.057 0.500
```

This record from Alexandria describes a relaxed Pm8Si3AuI4 crystal. The functional is PBE-GGA.

Values from the calculation:
- uncorrected formation energy (eV/atom) = -0.90

Cell and atoms, written as CIF:
```
data_Pm8Si3AuI4
_chemical_formula_sum 'Pm24 Si9 Au3 I12'
_symmetry_space_group_name_H-M 'R -3 m'
_symmetry_Int_Tables_number 166
_symmetry_space_group_name_Hall '-R 3 2"'
_cell_length_a 8.6548
_cell_length_b 8.6548
_cell_length_c 22.6786
_cell_angle_alpha 90.00
_cell_angle_beta 90.00
_cell_angle_gamma 120.00
loop_
_atom_site_label
_atom_site_type_symbol
_atom_site_fract_x
_atom_site_fract_y
_atom_site_fract_z
Pm1 Pm 0.0000 0.0000 0.2328
Pm2 Pm 0.0058 0.5029 0.7659
Si1 Si 0.0000 0.5000 0.5000
Au1 Au 0.0000 0.0000 0.5000
I1 I 0.0000 0.0000 0.0000
I2 I 0.0000 0.5000 0.0000
```

| no. | M_tot (μB/f.u.) | energy (eV per atom) |
| --- | --- | --- |
| 1 | 0.0 | -5.8978 |
| 2 | 1.3 | -2.1753 |
| 3 | 0.0 | -4.6666 |
| 4 | 0.8 | -5.4717 |
| 5 | 0.0 | -3.3134 |
| 6 | 0.0 | -4.8835 |